Entry 1:
Here is Ta2Ti3Nb4 after structural relaxation from Alexandria. Energies are from PBE.

Lattice parameters (Å, degrees): 5.078 8.082 8.083 82.70 85.18 85.17
Fractional coordinates of all 18 atoms:
Ta 0.079 0.189 0.354
Ta 0.421 0.646 0.810
Ta 0.579 0.354 0.190
Ta 0.921 0.811 0.646
Ti 0.010 0.170 0.027
Ti 0.250 0.504 0.496
Ti 0.490 0.973 0.830
Ti 0.510 0.027 0.170
Ti 0.750 0.496 0.504
Ti 0.990 0.830 0.973
Nb 0.025 0.161 0.695
Nb 0.072 0.514 0.155
Nb 0.429 0.844 0.485
Nb 0.474 0.305 0.839
Nb 0.526 0.695 0.161
Nb 0.571 0.156 0.515
Nb 0.928 0.486 0.845
Nb 0.975 0.839 0.305

SG	P-1, No. 2
DOS at the Fermi energy	10.79	states/eV/f.u.
ΔH_f (0 K)	121	meV per atom
energy	-173.154	eV/cell
total magnetization	0.00	μB/cell

***

Entry 2:
Here is Ta2TiNb after structural relaxation from Alexandria. Energies are from PBE.

Lattice parameters (Å, degrees): 4.662 4.662 4.662 60.00 60.00 60.00
Fractional coordinates of all 4 atoms:
Ta 0.000 0.000 0.000
Ta 0.250 0.250 0.250
Ti 0.500 0.500 0.500
Nb 0.750 0.750 0.750

SG	F-43m, No. 216
DOS at the Fermi energy	8.66	states/eV/f.u.
ΔH_f (0 K)	43	meV per atom
energy	-41.499	eV/cell
total magnetization	0.03	μB/cell

***

Entry 3:
Here is Ta3TiNb3 after structural relaxation from Alexandria. Energies are from PBE.

Lattice parameters (Å, degrees): 7.175 4.695 8.111 90.00 112.24 90.00
Fractional coordinates of all 14 atoms:
Ta 0.000 0.250 0.246
Ta 0.000 0.750 0.754
Ta 0.140 0.750 0.465
Ta 0.286 0.250 0.679
Ta 0.714 0.750 0.321
Ta 0.860 0.250 0.535
Ti 0.282 0.750 0.177
Ti 0.718 0.250 0.823
Nb 0.140 0.250 0.961
Nb 0.431 0.250 0.398
Nb 0.434 0.750 0.891
Nb 0.566 0.250 0.109
Nb 0.569 0.750 0.602
Nb 0.860 0.750 0.039

SG	P2_1/m, No. 11
DOS at the Fermi energy	11.36	states/eV/f.u.
ΔH_f (0 K)	5	meV per atom
energy	-147.248	eV/cell
total magnetization	0.00	μB/cell

***

Entry 4:
Here is Ta2Ti4Nb after structural relaxation from Alexandria. Energies are from PBE.

Lattice parameters (Å, degrees): 2.863 7.108 7.118 118.45 95.96 98.39
Fractional coordinates of all 7 atoms:
Ta 0.134 0.354 0.072
Ta 0.866 0.646 0.928
Ti 0.220 0.225 0.645
Ti 0.483 0.071 0.223
Ti 0.517 0.929 0.777
Ti 0.780 0.775 0.355
Nb 0.000 0.500 0.500

SG	P-1, No. 2
DOS at the Fermi energy	11.87	states/eV/f.u.
ΔH_f (0 K)	50	meV per atom
energy	-65.002	eV/cell
total magnetization	0.00	μB/cell

***

Entry 5:
Here is Ta3Ti2Nb after structural relaxation from Alexandria. Energies are from PBE.

Lattice parameters (Å, degrees): 4.652 6.596 7.174 76.29 90.00 89.99
Fractional coordinates of all 12 atoms:
Ta 0.249 0.291 0.331
Ta 0.250 0.623 0.000
Ta 0.250 0.957 0.669
Ta 0.750 0.043 0.331
Ta 0.750 0.377 0.000
Ta 0.751 0.709 0.669
Ti 0.250 0.126 0.001
Ti 0.251 0.461 0.662
Ti 0.749 0.539 0.338
Ti 0.750 0.874 0.999
Nb 0.250 0.793 0.330
Nb 0.750 0.207 0.670

SG	P-1, No. 2
DOS at the Fermi energy	10.76	states/eV/f.u.
ΔH_f (0 K)	45	meV per atom
energy	-122.290	eV/cell
total magnetization	0.00	μB/cell

***

Entry 6:
Here is TaTiNb3 after structural relaxation from Alexandria. Energies are from PBE.

Lattice parameters (Å, degrees): 7.528 7.528 10.140 115.18 115.18 20.81
Fractional coordinates of all 10 atoms:
Ta 0.076 0.076 0.454
Ta 0.924 0.924 0.546
Ti 0.380 0.380 0.257
Ti 0.620 0.620 0.743
Nb 0.172 0.172 0.039
Nb 0.226 0.226 0.351
Nb 0.473 0.473 0.845
Nb 0.527 0.527 0.155
Nb 0.774 0.774 0.649
Nb 0.828 0.828 0.961

SG	C2/m, No. 12
DOS at the Fermi energy	6.44	states/eV/f.u.
ΔH_f (0 K)	177	meV per atom
energy	-98.144	eV/cell
total magnetization	0.61	μB/cell

***

Entry 7:
Here is TaTiNbTl after structural relaxation from Alexandria. Energies are from PBE.

Lattice parameters (Å, degrees): 4.740 4.740 4.740 60.00 60.00 60.00
Fractional coordinates of all 4 atoms:
Ta 0.000 0.000 0.000
Ti 0.250 0.250 0.250
Nb 0.750 0.750 0.750
Tl 0.500 0.500 0.500

SG	F-43m, No. 216
DOS at the Fermi energy	4.36	states/eV/f.u.
ΔH_f (0 K)	222	meV per atom
energy	-31.297	eV/cell
total magnetization	0.00	μB/cell

***

Entry 8:
Here is TaTiNbV after structural relaxation from Alexandria. Energies are from PBE.

Lattice parameters (Å, degrees): 4.575 4.575 4.575 60.00 60.00 60.00
Fractional coordinates of all 4 atoms:
Ta 0.000 0.000 0.000
Ti 0.500 0.500 0.500
Nb 0.250 0.250 0.250
V 0.750 0.750 0.750

SG	F-43m, No. 216
DOS at the Fermi energy	7.27	states/eV/f.u.
ΔH_f (0 K)	67	meV per atom
energy	-38.667	eV/cell
total magnetization	1.80	μB/cell

***

Entry 9:
Here is Y2TaTiNb after structural relaxation from Alexandria. Energies are from PBE.

Lattice parameters (Å, degrees): 5.301 5.301 4.659 90.00 90.00 90.00
Fractional coordinates of all 5 atoms:
Y 0.000 0.500 0.000
Y 0.500 0.000 0.000
Ta 0.000 0.000 0.500
Ti 0.500 0.500 0.500
Nb 0.500 0.500 0.000

SG	P4/mmm, No. 123
DOS at the Fermi energy	9.29	states/eV/f.u.
ΔH_f (0 K)	1254	meV per atom
energy	-36.474	eV/cell
total magnetization	0.00	μB/cell

***

Entry 10:
Here is ZrTaTiNb after structural relaxation from Alexandria. Energies are from PBE.

Lattice parameters (Å, degrees): 4.750 4.750 4.750 60.00 60.00 60.00
Fractional coordinates of all 4 atoms:
Zr 0.000 0.000 0.000
Ta 0.500 0.500 0.500
Ti 0.750 0.750 0.750
Nb 0.250 0.250 0.250

SG	F-43m, No. 216
DOS at the Fermi energy	8.21	states/eV/f.u.
ΔH_f (0 K)	85	meV per atom
energy	-38.027	eV/cell
total magnetization	0.00	μB/cell

***

Entry 11:
Here is TaNbTl2 after structural relaxation from Alexandria. Energies are from PBE.

Lattice parameters (Å, degrees): 4.869 4.869 4.869 60.00 60.00 60.00
Fractional coordinates of all 4 atoms:
Ta 0.000 0.000 0.000
Nb 0.500 0.500 0.500
Tl 0.250 0.250 0.250
Tl 0.750 0.750 0.750

SG	Fm-3m, No. 225
DOS at the Fermi energy	4.95	states/eV/f.u.
ΔH_f (0 K)	737	meV per atom
energy	-23.706	eV/cell
total magnetization	0.00	μB/cell

***

Entry 12:
Here is Ta3NbTl after structural relaxation from Alexandria. Energies are from PBE.

Lattice parameters (Å, degrees): 5.010 5.010 5.010 90.00 90.00 90.00
Fractional coordinates of all 5 atoms:
Ta 0.000 0.000 0.500
Ta 0.000 0.500 0.000
Ta 0.500 0.000 0.000
Nb 0.500 0.500 0.500
Tl 0.000 0.000 0.000

SG	Pm-3m, No. 221
DOS at the Fermi energy	7.06	states/eV/f.u.
ΔH_f (0 K)	2429	meV per atom
energy	-35.851	eV/cell
total magnetization	0.00	μB/cell

***

Entry 13:
Here is TaNb3Tl after structural relaxation from Alexandria. Energies are from PBE.

Lattice parameters (Å, degrees): 4.932 4.932 4.932 90.00 90.00 90.00
Fractional coordinates of all 5 atoms:
Ta 0.000 0.000 0.000
Nb 0.000 0.000 0.500
Nb 0.000 0.500 0.000
Nb 0.500 0.000 0.000
Tl 0.500 0.500 0.500

SG	Pm-3m, No. 221
DOS at the Fermi energy	5.87	states/eV/f.u.
ΔH_f (0 K)	1321	meV per atom
energy	-37.822	eV/cell
total magnetization	0.00	μB/cell

***

Entry 14:
Here is TaNbTl2 after structural relaxation from Alexandria. Energies are from PBE.

Lattice parameters (Å, degrees): 6.245 6.245 6.245 103.06 103.06 123.23
Fractional coordinates of all 8 atoms:
Ta 0.000 0.000 0.000
Ta 0.750 0.250 0.500
Nb 0.250 0.750 0.500
Nb 0.500 0.500 0.000
Tl 0.124 0.625 0.999
Tl 0.375 0.374 0.499
Tl 0.626 0.125 0.001
Tl 0.875 0.876 0.501

SG	I-42d, No. 122
DOS at the Fermi energy	0.67	states/eV/f.u.
ΔH_f (0 K)	880	meV per atom
energy	-46.266	eV/cell
total magnetization	0.00	μB/cell

***

Entry 15:
Here is Ta3NbTl after structural relaxation from Alexandria. Energies are from PBE.

Lattice parameters (Å, degrees): 4.920 4.920 4.920 90.00 90.00 90.00
Fractional coordinates of all 5 atoms:
Ta 0.000 0.000 0.500
Ta 0.000 0.500 0.000
Ta 0.500 0.000 0.000
Nb 0.000 0.000 0.000
Tl 0.500 0.500 0.500

SG	Pm-3m, No. 221
DOS at the Fermi energy	5.38	states/eV/f.u.
ΔH_f (0 K)	1576	meV per atom
energy	-40.113	eV/cell
total magnetization	0.00	μB/cell

***

Entry 16:
Here is TmTaNb after structural relaxation from Alexandria. Energies are from PBE.

Lattice parameters (Å, degrees): 14.853 3.031 3.031 67.62 90.00 90.00
Fractional coordinates of all 6 atoms:
Tm 0.173 0.000 0.000
Tm 0.827 0.000 0.000
Ta 0.000 0.387 0.387
Ta 0.500 0.924 0.924
Nb 0.353 0.422 0.422
Nb 0.647 0.422 0.422

SG	Amm2, No. 38
DOS at the Fermi energy	3.92	states/eV/f.u.
ΔH_f (0 K)	280	meV per atom
energy	-51.110	eV/cell
total magnetization	0.00	μB/cell

***

Entry 17:
Here is UTaNb after structural relaxation from Alexandria. Energies are from PBE.

Lattice parameters (Å, degrees): 4.778 4.778 2.908 90.00 90.00 120.00
Fractional coordinates of all 3 atoms:
U 0.000 0.000 0.000
Ta 0.333 0.667 0.605
Nb 0.667 0.333 0.240

SG	P3m1, No. 156
DOS at the Fermi energy	4.46	states/eV/f.u.
ΔH_f (0 K)	183	meV per atom
energy	-32.663	eV/cell
total magnetization	0.00	μB/cell

***

Entry 18:
Here is UTaNb after structural relaxation from Alexandria. Energies are from PBE.

Lattice parameters (Å, degrees): 5.290 2.820 7.903 90.00 90.00 90.00
Fractional coordinates of all 6 atoms:
U 0.000 0.000 0.000
U 0.500 0.000 0.000
Ta 0.250 0.000 0.345
Ta 0.750 0.000 0.655
Nb 0.250 0.500 0.657
Nb 0.750 0.500 0.343

SG	Pmma, No. 51
DOS at the Fermi energy	5.22	states/eV/f.u.
ΔH_f (0 K)	389	meV per atom
energy	-64.089	eV/cell
total magnetization	1.05	μB/cell

***

Entry 19:
Here is UTaNb after structural relaxation from Alexandria. Energies are from PBE.

Lattice parameters (Å, degrees): 5.510 5.510 5.510 143.73 143.73 52.24
Fractional coordinates of all 3 atoms:
U 0.000 0.000 0.000
Ta 0.670 0.670 0.000
Nb 0.346 0.346 0.000

SG	I4mm, No. 107
DOS at the Fermi energy	5.93	states/eV/f.u.
ΔH_f (0 K)	298	meV per atom
energy	-32.317	eV/cell
total magnetization	0.69	μB/cell

***

Entry 20:
Here is Ta4Nb4V after structural relaxation from Alexandria. Energies are from PBE.

Lattice parameters (Å, degrees): 7.163 7.163 7.163 93.02 93.02 153.47
Fractional coordinates of all 9 atoms:
Ta 0.161 0.161 0.322
Ta 0.161 0.839 0.000
Ta 0.839 0.161 0.000
Ta 0.839 0.839 0.678
Nb 0.168 0.500 0.668
Nb 0.500 0.168 0.668
Nb 0.500 0.832 0.332
Nb 0.832 0.500 0.332
V 0.500 0.500 0.000

SG	I4/mmm, No. 139
DOS at the Fermi energy	14.11	states/eV/f.u.
ΔH_f (0 K)	-2	meV per atom
energy	-96.825	eV/cell
total magnetization	0.00	μB/cell